An optimized crystal structure of ZnCr2O6. Source: the Alexandria database, functional GGA+U.

Output
For the density, the calculation gives 4.54 g cm⁻³. Its total DFT energy (no corrections) is -112.5 eV per cell.

Cell lengths 7.185, 5.392, 5.008 Å; angles 90.00, 90.00, 90.00 degrees
Sites, in units of the cell vectors:
Zn 0.000 0.248 0.000
Zn 0.500 0.752 0.500
Cr 0.237 0.750 0.993
Cr 0.263 0.250 0.493
Cr 0.737 0.250 0.493
Cr 0.763 0.750 0.993
O 0.000 0.250 0.613
O 0.000 0.750 0.842
O 0.184 0.014 0.190
O 0.185 0.484 0.188
O 0.315 0.516 0.688
O 0.316 0.986 0.690
O 0.500 0.250 0.342
O 0.500 0.750 0.113
O 0.684 0.986 0.690
O 0.685 0.516 0.688
O 0.815 0.484 0.188
O 0.816 0.014 0.190